1.
Entry from Alexandria: crystalline Cs4I2F at its relaxed geometry (PBE-GGA).

Geometry as POSCAR:
```
Cs4I2F
1.0
-0.213 -2.166 -5.612
4.275 -4.006 1.383
-5.388 -9.987 0.830
Cs I F
4 2 1
direct
0.822 0.822 0.356 Cs
0.178 0.178 0.644 Cs
0.500 0.000 0.000 Cs
0.000 0.500 0.000 Cs
0.622 0.622 0.756 I
0.378 0.378 0.244 I
0.000 0.000 0.000 F
```

## Properties
* space group: I4/mmm, No. 139
* mass density: 3.49 g/cm3
* E_form (uncorrected): -1.547 eV per atom
* E_tot: -19.22 eV per cell
* DOS at the Fermi energy: 2.3 states/eV per cell

2.
Entry from Alexandria: crystalline Cs2IF at its relaxed geometry (PBE-GGA).

Geometry as POSCAR:
```
Cs2IF
1.0
4.742 0.000 0.000
2.371 4.107 0.000
2.371 1.369 8.515
I Cs F
1 2 1
direct
0.500 0.500 0.501 I
0.269 0.269 0.192 Cs
0.064 0.064 0.809 Cs
0.667 0.667 0.998 F
```

## Properties
* space group: R3m, No. 160
* mass density: 4.12 g/cm3
* energy above the lowest structure with this stoichiometry: 0.33 eV/f.u.
* E_form (uncorrected): -2.018 eV per atom
* E_tot: -13.20 eV per cell
* DOS at the Fermi energy: 0.0 states/eV per cell

3.
Entry from Alexandria: crystalline Cs3I2F at its relaxed geometry (PBE-GGA).

Geometry as POSCAR:
```
Cs3I2F
1.0
-7.538 2.795 1.638
-1.351 -6.766 5.323
3.429 6.524 4.649
I Cs F
4 6 2
direct
0.250 0.486 0.168 I
0.250 0.168 0.486 I
0.750 0.514 0.832 I
0.750 0.832 0.514 I
0.000 0.144 0.856 Cs
0.250 0.636 0.636 Cs
0.500 0.144 0.856 Cs
0.750 0.364 0.364 Cs
0.500 0.856 0.144 Cs
0.000 0.856 0.144 Cs
0.250 0.916 0.916 F
0.750 0.084 0.084 F
```

## Properties
* space group: Cmcm, No. 63
* mass density: 3.77 g/cm3
* energy above the lowest structure with this stoichiometry: 0.17 eV/f.u.
* E_form (uncorrected): -1.870 eV per atom
* E_tot: -37.50 eV per cell
* DOS at the Fermi energy: 0.0 states/eV per cell

4.
Entry from Alexandria: crystalline Cs4I3F at its relaxed geometry (PBE-GGA).

Geometry as POSCAR:
```
Cs4I3F
1.0
-6.717 -2.161 8.301
-6.459 -6.555 -6.932
7.255 -10.474 3.144
I Cs F
12 16 4
direct
0.037 0.293 0.542 I
0.537 0.207 0.542 I
0.885 0.924 0.750 I
0.963 0.707 0.458 I
0.963 0.707 0.042 I
0.463 0.793 0.042 I
0.463 0.793 0.458 I
0.385 0.576 0.750 I
0.115 0.076 0.250 I
0.537 0.207 0.958 I
0.615 0.424 0.250 I
0.037 0.293 0.958 I
0.019 0.603 0.750 Cs
0.680 0.532 0.559 Cs
0.704 0.746 0.250 Cs
0.820 0.032 0.441 Cs
0.981 0.397 0.250 Cs
0.519 0.897 0.750 Cs
0.204 0.754 0.250 Cs
0.320 0.468 0.059 Cs
0.680 0.532 0.941 Cs
0.180 0.968 0.941 Cs
0.180 0.968 0.559 Cs
0.820 0.032 0.059 Cs
0.296 0.254 0.750 Cs
0.481 0.103 0.250 Cs
0.796 0.246 0.750 Cs
0.320 0.468 0.441 Cs
0.712 0.994 0.250 F
0.288 0.006 0.750 F
0.212 0.506 0.250 F
0.788 0.494 0.750 F
```

## Properties
* space group: Pnma, No. 62
* mass density: 3.76 g/cm3
* energy above the lowest structure with this stoichiometry: 0.00 eV/f.u.
* E_form (uncorrected): -1.796 eV per atom
* E_tot: -97.21 eV per cell
* DOS at the Fermi energy: 0.0 states/eV per cell

5.
Entry from Alexandria: crystalline Cs6I5F2 at its relaxed geometry (PBE-GGA).

Geometry as POSCAR:
```
Cs6I5F2
1.0
5.137 0.000 0.000
0.000 15.252 0.000
0.000 0.000 16.733
Cs I F
12 10 4
direct
0.000 0.311 0.921 Cs
0.000 0.689 0.079 Cs
0.000 0.189 0.421 Cs
0.500 0.703 0.789 Cs
0.500 0.297 0.211 Cs
0.500 0.203 0.711 Cs
0.000 0.979 0.130 Cs
0.000 0.021 0.870 Cs
0.000 0.521 0.630 Cs
0.000 0.811 0.579 Cs
0.500 0.797 0.289 Cs
0.000 0.479 0.370 Cs
0.500 0.351 0.519 I
0.500 0.446 0.795 I
0.500 0.851 0.981 I
0.500 0.054 0.295 I
0.500 0.554 0.205 I
0.500 0.149 0.019 I
0.500 0.500 0.000 I
0.500 0.000 0.500 I
0.500 0.946 0.705 I
0.500 0.649 0.481 I
0.000 0.187 0.793 F
0.000 0.813 0.207 F
0.000 0.313 0.293 F
0.000 0.687 0.707 F
```

## Properties
* space group: Pbam, No. 55
* mass density: 3.72 g/cm3
* E_form (uncorrected): -1.734 eV per atom
* E_tot: -78.32 eV per cell
* DOS at the Fermi energy: 1.3 states/eV per cell

6.
Entry from Alexandria: crystalline CsI2F at its relaxed geometry (PBE-GGA).

Geometry as POSCAR:
```
CsI2F
1.0
-5.447 -2.543 1.105
-5.114 3.233 -0.863
-3.733 -1.367 -4.642
I F Cs
2 1 1
direct
0.250 0.250 0.250 I
0.750 0.750 0.750 I
0.000 0.000 0.000 F
0.500 0.500 0.500 Cs
```

## Properties
* space group: Fm-3m, No. 225
* mass density: 4.17 g/cm3
* E_form (uncorrected): -0.566 eV per atom
* E_tot: -8.09 eV per cell
* DOS at the Fermi energy: 8.6 states/eV per cell

7.
Entry from Alexandria: crystalline Cs2IF at its relaxed geometry (PBE-GGA).

Geometry as POSCAR:
```
Cs2IF
1.0
8.708 0.000 0.000
0.000 8.708 0.000
4.354 4.354 4.889
F Cs I
2 4 2
direct
0.250 0.750 0.500 F
0.500 0.500 0.000 F
0.375 0.466 0.750 Cs
0.534 0.125 0.250 Cs
0.216 0.625 0.250 Cs
0.875 0.784 0.750 Cs
0.000 0.000 0.000 I
0.750 0.250 0.500 I
```

## Properties
* space group: I-42d, No. 122
* mass density: 3.69 g/cm3
* energy above the lowest structure with this stoichiometry: 0.16 eV/f.u.
* E_form (uncorrected): -2.061 eV per atom
* E_tot: -26.74 eV per cell
* DOS at the Fermi energy: 0.0 states/eV per cell

8.
Entry from Alexandria: crystalline CsIF3 at its relaxed geometry (PBE-GGA).

Geometry as POSCAR:
```
CsIF3
1.0
4.735 0.000 0.000
0.000 4.735 0.000
0.000 0.000 4.735
F Cs I
3 1 1
direct
0.500 0.000 0.000 F
0.000 0.000 0.500 F
0.000 0.500 0.000 F
0.500 0.500 0.500 Cs
0.000 0.000 0.000 I
```

## Properties
* space group: Pm-3m, No. 221
* mass density: 4.95 g/cm3
* energy above the lowest structure with this stoichiometry: 1.55 eV/f.u.
* E_form (uncorrected): -1.534 eV per atom
* E_tot: -15.69 eV per cell
* DOS at the Fermi energy: 1.5 states/eV per cell

9.
Entry from Alexandria: crystalline CsIF4 at its relaxed geometry (PBE-GGA).

Geometry as POSCAR:
```
CsIF4
1.0
-0.537 5.120 -1.640
-5.914 -2.650 2.564
4.932 2.822 7.198
I F Cs
2 8 2
direct
0.500 0.500 0.000 I
0.000 0.500 0.500 I
0.675 0.836 0.043 F
0.781 0.465 0.858 F
0.219 0.535 0.142 F
0.325 0.164 0.957 F
0.315 0.535 0.642 F
0.161 0.836 0.543 F
0.839 0.164 0.457 F
0.685 0.465 0.358 F
0.763 0.000 0.750 Cs
0.237 0.000 0.250 Cs
```

## Properties
* space group: C2/c, No. 15
* mass density: 3.68 g/cm3
* E_form (uncorrected): -1.968 eV per atom
* E_tot: -43.39 eV per cell
* DOS at the Fermi energy: 0.0 states/eV per cell

10.
Entry from Alexandria: crystalline Cs3IF2 at its relaxed geometry (PBE-GGA).

Geometry as POSCAR:
```
Cs3IF2
1.0
8.304 0.000 0.000
4.152 7.192 0.000
4.152 2.397 8.336
I Cs F
2 6 4
direct
0.186 0.186 0.442 I
0.814 0.814 0.558 I
0.237 0.722 0.804 Cs
0.278 0.763 0.196 Cs
0.237 0.237 0.804 Cs
0.722 0.237 0.804 Cs
0.763 0.278 0.196 Cs
0.763 0.763 0.196 Cs
0.500 0.000 0.000 F
0.000 0.500 0.000 F
0.500 0.500 0.000 F
0.000 0.000 0.000 F
```

## Properties
* space group: R-3m, No. 166
* mass density: 3.76 g/cm3
* energy above the lowest structure with this stoichiometry: 0.86 eV/f.u.
* E_form (uncorrected): -2.137 eV per atom
* E_tot: -41.35 eV per cell
* DOS at the Fermi energy: 0.0 states/eV per cell

11.
Entry from Alexandria: crystalline Cs3IF at its relaxed geometry (PBE-GGA).

Geometry as POSCAR:
```
Cs3IF
1.0
-1.043 -1.536 -5.956
-0.570 -5.991 1.645
-6.124 0.819 0.862
Cs I F
3 1 1
direct
0.000 0.500 0.000 Cs
0.500 0.000 0.000 Cs
0.000 0.000 0.500 Cs
0.500 0.500 0.500 I
0.000 0.000 0.000 F
```

## Properties
* space group: Pm-3m, No. 221
* mass density: 3.72 g/cm3
* energy above the lowest structure with this stoichiometry: 0.00 eV/f.u.
* E_form (uncorrected): -1.510 eV per atom
* E_tot: -13.53 eV per cell
* DOS at the Fermi energy: 2.7 states/eV per cell

12.
Entry from Alexandria: crystalline Cs12I3F5 at its relaxed geometry (PBE-GGA).

Geometry as POSCAR:
```
Cs12I3F5
1.0
17.686 0.000 0.000
-5.895 16.675 0.000
-5.895 -8.337 14.441
Cs I F
48 12 20
direct
0.993 0.608 0.186 Cs
0.807 0.314 0.922 Cs
0.814 0.892 0.007 Cs
0.693 0.114 0.007 Cs
0.114 0.693 0.507 Cs
0.578 0.693 0.686 Cs
0.186 0.108 0.993 Cs
0.892 0.814 0.507 Cs
0.922 0.108 0.614 Cs
0.614 0.608 0.922 Cs
0.108 0.186 0.493 Cs
0.993 0.386 0.307 Cs
0.507 0.193 0.114 Cs
0.392 0.386 0.578 Cs
0.886 0.307 0.493 Cs
0.493 0.807 0.886 Cs
0.892 0.078 0.886 Cs
0.386 0.993 0.807 Cs
0.686 0.193 0.578 Cs
0.814 0.922 0.307 Cs
0.193 0.686 0.078 Cs
0.422 0.307 0.314 Cs
0.307 0.886 0.993 Cs
0.807 0.493 0.386 Cs
0.314 0.807 0.422 Cs
0.614 0.007 0.193 Cs
0.078 0.186 0.193 Cs
0.392 0.007 0.314 Cs
0.007 0.614 0.693 Cs
0.686 0.493 0.608 Cs
0.578 0.886 0.392 Cs
0.608 0.614 0.422 Cs
0.108 0.922 0.114 Cs
0.493 0.686 0.108 Cs
0.922 0.814 0.807 Cs
0.186 0.078 0.693 Cs
0.507 0.314 0.892 Cs
0.693 0.578 0.186 Cs
0.193 0.507 0.614 Cs
0.078 0.892 0.386 Cs
0.386 0.392 0.078 Cs
0.114 0.422 0.108 Cs
0.314 0.507 0.392 Cs
0.422 0.114 0.608 Cs
0.307 0.422 0.814 Cs
0.886 0.578 0.892 Cs
0.007 0.392 0.814 Cs
0.608 0.993 0.686 Cs
0.875 0.125 0.250 I
0.250 0.125 0.375 I
0.750 0.875 0.625 I
0.125 0.250 0.875 I
0.125 0.875 0.750 I
0.875 0.750 0.125 I
0.250 0.625 0.875 I
0.625 0.250 0.375 I
0.375 0.750 0.625 I
0.750 0.375 0.125 I
0.625 0.375 0.750 I
0.375 0.625 0.250 I
0.000 0.000 0.000 F
0.250 0.875 0.125 F
0.125 0.375 0.250 F
0.875 0.625 0.750 F
0.500 0.000 0.000 F
0.250 0.375 0.625 F
0.500 0.000 0.500 F
0.625 0.750 0.875 F
0.750 0.125 0.875 F
0.875 0.250 0.625 F
0.500 0.500 0.500 F
0.125 0.750 0.375 F
0.000 0.500 0.500 F
0.750 0.625 0.375 F
0.375 0.250 0.125 F
0.000 0.500 0.000 F
0.500 0.500 0.000 F
0.000 0.000 0.500 F
0.625 0.875 0.250 F
0.375 0.125 0.750 F
```

## Properties
* space group: Ia-3d, No. 230
* mass density: 3.23 g/cm3
* E_form (uncorrected): -1.679 eV per atom
* E_tot: -231.29 eV per cell
* DOS at the Fermi energy: 28.1 states/eV per cell

13.
Entry from Alexandria: crystalline Cs4I3F at its relaxed geometry (PBE-GGA).

Geometry as POSCAR:
```
Cs4I3F
1.0
5.418 0.000 0.000
0.000 9.154 -0.128
0.000 -3.008 8.647
Cs I F
4 3 1
direct
0.500 0.196 0.804 Cs
0.000 0.756 0.756 Cs
0.000 0.244 0.244 Cs
0.500 0.804 0.196 Cs
0.000 0.500 0.000 I
0.500 0.500 0.500 I
0.000 0.000 0.500 I
0.500 0.000 0.000 F
```

## Properties
* space group: Cmmm, No. 65
* mass density: 3.62 g/cm3
* energy above the lowest structure with this stoichiometry: 0.33 eV/f.u.
* E_form (uncorrected): -1.754 eV per atom
* E_tot: -23.97 eV per cell
* DOS at the Fermi energy: 0.0 states/eV per cell

14.
Entry from Alexandria: crystalline Cs4I3F12 at its relaxed geometry (PBE-GGA).

Geometry as POSCAR:
```
Cs4I3F12
1.0
-3.676 -5.232 -6.369
5.944 -4.816 4.788
-6.481 3.080 5.474
F Cs I
12 4 3
direct
0.787 0.134 0.653 F
0.866 0.347 0.213 F
0.134 0.347 0.481 F
0.653 0.519 0.866 F
0.866 0.653 0.519 F
0.134 0.653 0.787 F
0.653 0.787 0.134 F
0.481 0.134 0.347 F
0.347 0.213 0.866 F
0.347 0.481 0.134 F
0.519 0.866 0.653 F
0.213 0.866 0.347 F
0.500 0.500 0.500 Cs
0.500 0.000 0.000 Cs
0.000 0.500 0.000 Cs
0.000 0.000 0.500 Cs
0.500 0.500 0.000 I
0.000 0.500 0.500 I
0.500 0.000 0.500 I
```

## Properties
* space group: Im-3, No. 204
* mass density: 3.35 g/cm3
* E_form (uncorrected): -1.960 eV per atom
* E_tot: -67.76 eV per cell
* DOS at the Fermi energy: 8.4 states/eV per cell

15.
Entry from Alexandria: crystalline CsIF3 at its relaxed geometry (PBE-GGA).

Geometry as POSCAR:
```
CsIF3
1.0
-3.660 1.578 -6.221
5.080 -3.664 -3.918
-2.048 -5.416 -4.556
Cs F I
2 6 2
direct
0.750 0.250 0.500 Cs
0.250 0.750 0.500 Cs
0.205 0.205 0.591 F
0.795 0.795 0.409 F
0.697 0.303 0.000 F
0.303 0.697 0.000 F
0.303 0.303 0.000 F
0.697 0.697 0.000 F
0.000 0.000 0.000 I
0.500 0.500 0.000 I
```

## Properties
* space group: I4/mmm, No. 139
* mass density: 3.71 g/cm3
* energy above the lowest structure with this stoichiometry: 0.00 eV/f.u.
* E_form (uncorrected): -1.845 eV per atom
* E_tot: -34.48 eV per cell
* DOS at the Fermi energy: 0.0 states/eV per cell

16.
Entry from Alexandria: crystalline CsInI2F at its relaxed geometry (PBE-GGA).

Geometry as POSCAR:
```
CsInI2F
1.0
-0.461 -5.063 -3.753
5.934 -1.617 1.453
-1.552 -2.497 3.560
Cs F I In
1 1 2 1
direct
0.500 0.500 0.500 Cs
0.000 0.000 0.500 F
0.500 0.000 0.000 I
0.000 0.500 0.000 I
0.000 0.000 0.000 In
```

## Properties
* space group: P4/mmm, No. 123
* mass density: 4.69 g/cm3
* E_form (uncorrected): -1.381 eV per atom
* E_tot: -15.47 eV per cell
* DOS at the Fermi energy: 1.5 states/eV per cell

17.
Entry from Alexandria: crystalline CsInIF at its relaxed geometry (PBE-GGA).

Geometry as POSCAR:
```
CsInIF
1.0
4.699 0.000 0.000
-2.349 6.140 0.486
0.000 0.497 6.055
I In Cs F
1 1 1 1
direct
0.942 0.883 0.883 I
0.255 0.511 0.826 In
0.565 0.130 0.347 Cs
0.192 0.385 0.183 F
```

## Properties
* space group: Cm, No. 8
* mass density: 3.77 g/cm3
* E_form (uncorrected): -1.562 eV per atom
* E_tot: -13.26 eV per cell
* DOS at the Fermi energy: 0.0 states/eV per cell

18.
Entry from Alexandria: crystalline Cs2InIF6 at its relaxed geometry (PBE-GGA).

Geometry as POSCAR:
```
Cs2InIF6
1.0
7.499 0.000 0.000
0.000 7.499 0.000
3.750 3.750 4.360
F I Cs In
6 1 2 1
direct
0.245 0.245 0.511 F
0.694 0.306 0.000 F
0.306 0.306 0.000 F
0.306 0.694 0.000 F
0.755 0.755 0.489 F
0.694 0.694 0.000 F
0.000 0.000 0.000 I
0.750 0.250 0.500 Cs
0.250 0.750 0.500 Cs
0.500 0.500 0.000 In
```

## Properties
* space group: I4/mmm, No. 139
* mass density: 4.21 g/cm3
* E_form (uncorrected): -2.270 eV per atom
* E_tot: -39.92 eV per cell
* DOS at the Fermi energy: 0.0 states/eV per cell